1.
Ba2ScIrO6 after structural relaxation. Source: the Open Quantum Materials Database, functional PBE.

## Properties
Electronic total energy: -7.229 eV/atom
Total magnetic moment: 2.00 μB per cell

Geometry as POSCAR:
```
Ba2ScIrO6
1.0
-1.800 -0.410 5.467
1.138 4.245 3.738
-4.263 3.394 1.896
O Sc Ba Ir
6 1 2 1
direct
0.743 0.743 0.257
0.743 0.257 0.257
0.257 0.743 0.743
0.743 0.257 0.743
0.257 0.743 0.257
0.257 0.257 0.743
0.000 0.000 0.000
0.250 0.250 0.250
0.750 0.750 0.750
0.500 0.500 0.500
```



2.
BaSrIr4O8 after structural relaxation. Source: the Open Quantum Materials Database, functional PBE.

## Properties
Electronic total energy: -6.339 eV/atom
Total magnetic moment: 0.20 μB per cell

Geometry as POSCAR:
```
BaSrIr4O8
1.0
5.507 0.000 0.000
-2.753 4.769 0.000
0.000 0.000 8.240
Ir O Ba Sr
4 8 1 1
direct
0.333 0.667 0.245
0.667 0.333 0.755
0.667 0.333 0.245
0.333 0.667 0.755
0.000 0.702 0.718
0.667 0.333 0.000
0.333 0.667 0.000
0.702 0.000 0.718
0.000 0.298 0.282
0.298 0.000 0.282
0.298 0.298 0.718
0.702 0.702 0.282
0.000 0.000 0.000
0.000 0.000 0.500
```



3.
Ba2YIrO6 after structural relaxation. Source: the Open Quantum Materials Database, functional PBE.

## Properties
Electronic total energy: -7.228 eV/atom
Total magnetic moment: 4.01 μB per cell

Geometry as POSCAR:
```
Ba2YIrO6
1.0
-5.269 1.438 -2.281
-2.488 -0.660 5.330
1.476 8.064 1.688
Ir Ba O Y
2 4 12 2
direct
0.500 0.000 0.000
0.000 0.500 0.500
0.000 0.000 0.750
0.500 0.500 0.750
0.000 0.000 0.250
0.500 0.500 0.250
0.261 0.234 0.999
0.503 0.001 0.764
0.233 0.261 0.502
0.997 0.501 0.736
0.767 0.739 0.498
0.733 0.239 0.002
0.497 0.999 0.236
0.267 0.761 0.998
0.761 0.266 0.499
0.739 0.766 0.001
0.003 0.499 0.264
0.239 0.734 0.501
0.000 0.500 0.000
0.500 0.000 0.500
```



4.
Ba3ZnIr2O9 after structural relaxation. Source: the Open Quantum Materials Database, functional PBE.

## Properties
Electronic total energy: -6.309 eV/atom
Total magnetic moment: 0.03 μB per cell

Geometry as POSCAR:
```
Ba3ZnIr2O9
1.0
5.770 0.000 0.000
-2.885 4.997 0.000
0.000 0.000 14.266
Zn O Ba Ir
2 18 6 4
direct
0.000 0.000 0.500
0.000 0.000 0.000
0.172 0.828 0.417
0.017 0.508 0.250
0.172 0.343 0.083
0.657 0.828 0.083
0.983 0.492 0.750
0.343 0.172 0.583
0.828 0.172 0.917
0.492 0.983 0.250
0.828 0.657 0.917
0.172 0.828 0.083
0.508 0.492 0.750
0.828 0.657 0.583
0.172 0.343 0.417
0.657 0.828 0.417
0.508 0.017 0.750
0.828 0.172 0.583
0.492 0.508 0.250
0.343 0.172 0.917
0.333 0.667 0.585
0.000 0.000 0.750
0.667 0.333 0.085
0.667 0.333 0.415
0.333 0.667 0.915
0.000 0.000 0.250
0.333 0.667 0.340
0.333 0.667 0.160
0.667 0.333 0.660
0.667 0.333 0.840
```



5.
Ba2IrOs after structural relaxation. Source: the Open Quantum Materials Database, functional PBE.

## Properties
Electronic total energy: -4.953 eV/atom
Total magnetic moment: 2.52 μB per cell

Geometry as POSCAR:
```
Ba2IrOs
1.0
4.170 -1.657 -2.633
2.724 -4.077 1.740
-0.170 -4.526 -2.560
Ba Os Ir
2 1 1
direct
0.000 0.000 0.000
0.250 0.250 0.250
0.750 0.750 0.750
0.500 0.500 0.500
```



6.
Ba2IrOsS6 after structural relaxation. Source: the Open Quantum Materials Database, functional PBE.

## Properties
Electronic total energy: -5.484 eV/atom
Total magnetic moment: 3.90 μB per cell

Geometry as POSCAR:
```
Ba2IrOsS6
1.0
-4.935 2.178 4.134
-4.171 -4.765 -2.469
-3.063 -4.355 4.225
Ir S Ba Os
1 6 2 1
direct
0.500 0.500 0.000
0.249 0.751 0.000
0.751 0.751 0.000
0.249 0.249 0.502
0.249 0.249 0.000
0.751 0.249 0.000
0.751 0.751 0.498
0.250 0.750 0.500
0.750 0.250 0.500
0.000 0.000 0.000
```